Record 1
A plane-wave DFT calculation with PBE was carried out for TbPm2Ge after structural relaxation.

Output
Offset from the most stable computed form, meV per atom: 126

Unit cell a=10.0617 b=10.0617 c=10.0617 alpha=22.11 beta=22.11 gamma=22.11
Element x y z (fractional)
Tb 0.0000 0.0000 0.0000
Pm 0.5654 0.5654 0.5654
Pm 0.7665 0.7665 0.7665
Ge 0.1658 0.1658 0.1658

***

Record 2
A plane-wave DFT calculation with PBE was carried out for TaVMo2 after structural relaxation.

Output
Uncorrected energy, eV for the cell shown: -43.2

Unit cell a=3.1602 b=3.1602 c=6.3058 alpha=90.00 beta=90.00 gamma=90.00
Element x y z (fractional)
Ta 0.0000 0.0000 0.0000
V 0.0000 0.0000 0.5000
Mo 0.5000 0.5000 0.2604
Mo 0.5000 0.5000 0.7396

***

In the order shown, the computed N(E_F) values come out to 5.82, 3.65 states/eV/cell.